1.
First-principles (PBE) data for an optimized crystal structure of TlIr2Pt, as listed in the Alexandria database.

- Volume: 16.75 A^3/atom
- M_tot: 0.000 Bohr magnetons per cell
- Energy of formation: 0.41 eV per atom
- Offset from the most stable computed form: 8.9 kJ per mole of atoms

Lattice parameters (Å, degrees): 2.8495 4.8257 4.8731 90.00 90.00 90.00
Atoms (fractional coordinates):
Tl1 0.0000 0.0000 0.0000
Ir1 0.0000 0.5000 0.5000
Ir2 0.5000 0.5000 0.0000
Pt1 0.5000 0.0000 0.5000

=====

2.
First-principles (PBE) data for an optimized crystal structure of Zr5Tc4Rh, as listed in the Alexandria database.

- Volume: 17.90 A^3/atom
- M_tot: 0.000 Bohr magnetons per cell
- Energy of formation: -0.48 eV per atom

Lattice parameters (Å, degrees): 3.3006 3.3006 16.4282 90.00 90.00 90.00
Atoms (fractional coordinates):
Zr1 0.0000 0.0000 0.0000
Zr2 0.0000 0.0000 0.2002
Zr3 0.0000 0.0000 0.3975
Zr4 0.0000 0.0000 0.6025
Zr5 0.0000 0.0000 0.7998
Tc1 0.5000 0.5000 0.0998
Tc2 0.5000 0.5000 0.3020
Tc3 0.5000 0.5000 0.6980
Tc4 0.5000 0.5000 0.9002
Rh1 0.5000 0.5000 0.5000

=====

no.,Fermi-level density of states (states/eV/f.u.)
1,4.6
2,9.1